(1)
Compound: Ac3Pr2Hg
Source: Alexandria via LeMat-Bulk
Functional: GGA-PBE
Structure: relaxed

```
Ac3Pr2Hg
1.0
3.9950 0.0000 0.0000
0.0000 5.7277 -1.8902
0.0000 0.0997 9.9257
Ac Pr Hg
3 2 1
Cartesian
0.0000 3.9563 2.3654
0.0000 1.8711 5.6701
1.9975 2.8639 -0.9451
1.9975 5.0088 5.5547
1.9975 0.8187 2.4809
0.0000 0.0000 0.0000
```

Output
- Spin magnetization: 0.00 μB/f.u.
- Formation energy: -0.1431 eV/atom

---

(2)
Compound: AcPr4Hg5
Source: Alexandria via LeMat-Bulk
Functional: GGA-PBE
Structure: relaxed

```
AcPr4Hg5
1.0
-3.0870 -1.8486 -1.5180
1.4994 -3.4265 1.1235
-9.2984 1.5230 17.0550
Ac Pr Hg
1 4 5
Cartesian
0.0000 0.0000 0.0000
-1.9204 0.3146 3.5224
-3.7406 0.6127 6.8609
-5.5578 0.9104 10.1941
-7.3780 1.2085 13.5326
-1.8187 -2.4697 1.6826
-3.6202 -2.1746 4.9869
-5.4430 -1.8760 8.3303
-7.2658 -1.5775 11.6736
-9.0673 -1.2824 14.9780
```

Output
- Spin magnetization: 2.14 μB/f.u.
- Formation energy: -0.4688 eV/atom

---

(3)
Compound: AcPrHg14
Source: Alexandria via LeMat-Bulk
Functional: GGA-PBE
Structure: relaxed

```
AcPrHg14
1.0
6.7230 1.7062 0.0000
-1.6928 6.7264 0.0000
0.0000 0.0000 8.7956
Ac Pr Hg
1 1 14
Cartesian
3.5717 3.5860 0.0000
-0.6486 6.1035 0.0000
3.5668 3.5890 4.3978
-0.6380 6.0972 4.3978
0.2067 2.7358 0.0000
0.2117 2.7421 4.3978
2.7211 6.9509 0.0000
2.7180 6.9435 4.3978
2.2888 1.4454 6.4894
2.2888 1.4454 2.3062
4.8458 5.7319 6.4894
4.8458 5.7319 2.3062
5.7047 2.3136 6.4820
5.7047 2.3136 2.3136
1.4270 4.8654 6.4978
1.4270 4.8654 2.2978
```

Output
- Spin magnetization: 0.00 μB/f.u.
- Formation energy: -0.1976 eV/atom

---

(4)
Compound: AcPr3Hg6
Source: Alexandria via LeMat-Bulk
Functional: GGA-PBE
Structure: relaxed

```
AcPr3Hg6
1.0
5.3515 0.0000 0.0000
0.0000 9.2260 -2.9431
0.0000 0.0648 11.7073
Ac Pr Hg
2 6 12
Cartesian
1.3379 8.6394 4.4995
4.0136 0.6515 4.2647
1.3379 4.6675 3.0297
4.0136 4.6234 5.7345
1.3379 3.3227 8.3935
4.0136 5.9682 0.3707
1.3379 7.2155 9.4128
4.0136 2.0754 -0.6486
1.3379 4.2221 -0.2459
4.0136 5.0687 9.0101
1.3379 1.3629 1.9302
4.0136 7.9280 6.8340
1.3379 6.0096 6.4700
4.0136 3.2813 2.2942
1.3379 2.4012 5.3619
4.0136 6.8897 3.4023
1.3379 7.6011 1.1876
4.0136 1.6898 7.5766
1.3379 0.6032 10.4761
4.0136 8.6877 -1.7119
```

Output
- Spin magnetization: 0.00 μB/f.u.
- Formation energy: -0.4398 eV/atom

---

(5)
Compound: Ac4PrHg
Source: Alexandria via LeMat-Bulk
Functional: GGA-PBE
Structure: relaxed

```
Ac4PrHg
1.0
3.9794 0.0000 0.0000
0.0000 3.9794 0.0000
0.0000 0.0000 15.0096
Ac Pr Hg
4 1 1
Cartesian
1.9897 1.9897 2.5994
0.0000 0.0000 9.5763
0.0000 0.0000 5.4334
1.9897 1.9897 12.4102
0.0000 0.0000 0.0000
1.9897 1.9897 7.5048
```

Output
- Spin magnetization: 0.00 μB/f.u.
- E above lowest polymorph: 0.0 meV per atom
- Formation energy: -0.1472 eV/atom

---

(6)
Compound: Ac3Pr4Hg4
Source: Alexandria via LeMat-Bulk
Functional: GGA-PBE
Structure: relaxed

```
Ac3Pr4Hg4
1.0
-0.8238 4.1268 -2.7676
-4.9540 -4.6392 -5.4428
-4.0389 2.0670 8.8673
Ac Pr Hg
3 4 4
Cartesian
-1.5534 0.4060 1.0678
-8.2632 1.1486 -0.4109
-2.4770 -2.3196 -2.7214
-3.5641 2.1245 4.2286
-4.2608 1.2953 -1.3835
-6.2525 -0.5698 -3.5717
-5.5558 0.2594 2.0404
-5.5824 -1.5079 -0.5867
-4.2343 3.0625 1.2437
-4.4506 -1.7187 -5.8211
-1.3271 1.2063 -2.3893
```

Output
- Spin magnetization: 0.00 μB/f.u.
- Formation energy: -0.2885 eV/atom

---

(7)
Compound: AcPr5Hg2
Source: Alexandria via LeMat-Bulk
Functional: GGA-PBE
Structure: relaxed

```
AcPr5Hg2
1.0
3.8999 0.0000 0.0000
1.9500 8.3490 -0.6170
1.9500 1.9235 8.1477
Ac Pr Hg
1 5 2
Cartesian
0.0000 0.0000 0.0000
1.9500 5.1362 3.7654
3.8999 5.0964 0.7976
3.8999 5.1760 6.7332
3.8999 7.9785 2.9104
3.8999 2.2939 4.6204
5.8499 7.8545 5.7582
1.9500 2.4179 1.7726
```

Output
- Spin magnetization: 0.00 μB/f.u.
- Formation energy: -0.1832 eV/atom

---

(8)
Compound: AcPr5Hg6
Source: Alexandria via LeMat-Bulk
Functional: GGA-PBE
Structure: relaxed

```
AcPr5Hg6
1.0
-5.2389 -1.6547 0.0892
0.8347 -2.2412 7.4466
0.3096 8.3518 2.4790
Pr Ac Hg
5 1 6
Cartesian
-2.9611 0.5443 4.6031
-1.5379 4.9929 1.6751
0.4174 -1.1206 3.7233
-2.5566 -0.5370 8.3397
-1.1335 3.9116 5.4117
0.0000 0.0000 0.0000
-3.5292 2.4663 7.2534
-3.9373 3.5620 3.6126
-2.4037 -1.4065 1.9689
-1.6908 5.8624 8.0459
-0.1572 0.8938 6.4021
-0.5653 1.9896 2.7614
```

Output
- Spin magnetization: 2.65 μB/f.u.
- Formation energy: -0.4670 eV/atom

---

Question: Among the records above, which one has the highest spin magnetization?
Answer: AcPr5Hg6